Here is crystalline ZrCu2Rh at its relaxed geometry from Alexandria. Energies are from GGA-PBEsol.

## Properties
* calculated density: 9108 kg/m3
* E_tot: -6.7452 eV/atom
* formation enthalpy at 0 K: -271 meV per atom

a = 3.280 Å, b = 3.280 Å, c = 5.444 Å
α = 90.00°, β = 90.00°, γ = 90.00°
Atoms (fractional coordinates):
Zr: 0.000 0.000 0.000
Cu: 0.000 0.000 0.491
Cu: 0.500 0.500 0.288
Rh: 0.500 0.500 0.754

---

Here is crystalline CuRu2 at its relaxed geometry from Alexandria. Energies are from GGA-PBEsol.

## Properties
* calculated density: 11347 kg/m3
* E_tot: -8.0207 eV/atom
* formation enthalpy at 0 K: 206 meV per atom

a = 2.651 Å, b = 2.651 Å, c = 6.387 Å
α = 90.00°, β = 90.00°, γ = 120.00°
Atoms (fractional coordinates):
Cu: 0.000 0.000 0.000
Ru: 0.333 0.667 0.339
Ru: 0.667 0.333 0.661

---

Here is crystalline CuRu3 at its relaxed geometry from Alexandria. Energies are from GGA-PBEsol.

## Properties
* calculated density: 11583 kg/m3
* E_tot: -8.2025 eV/atom
* formation enthalpy at 0 K: 510 meV per atom

a = 5.947 Å, b = 5.947 Å, c = 5.947 Å
α = 90.00°, β = 90.00°, γ = 90.00°
Atoms (fractional coordinates):
Cu: 0.000 0.000 0.000
Cu: 0.000 0.500 0.500
Cu: 0.500 0.000 0.500
Cu: 0.500 0.500 0.000
Ru: 0.000 0.000 0.500
Ru: 0.000 0.500 0.000
Ru: 0.250 0.250 0.250
Ru: 0.250 0.250 0.750
Ru: 0.250 0.750 0.250
Ru: 0.250 0.750 0.750
Ru: 0.500 0.000 0.000
Ru: 0.500 0.500 0.500
Ru: 0.750 0.250 0.250
Ru: 0.750 0.250 0.750
Ru: 0.750 0.750 0.250
Ru: 0.750 0.750 0.750

---

Here is crystalline CuSb2Ru at its relaxed geometry from Alexandria. Energies are from GGA-PBEsol.

## Properties
* calculated density: 9683 kg/m3
* E_form (uncorrected): 0.263 eV/atom
* E_tot: -5.6421 eV/atom

a = 4.628 Å, b = 4.628 Å, c = 3.268 Å
α = 90.00°, β = 90.00°, γ = 90.00°
Atoms (fractional coordinates):
Cu: 0.000 0.000 0.000
Sb: 0.000 0.500 0.500
Sb: 0.500 0.000 0.500
Ru: 0.500 0.500 0.000

---

Here is crystalline CuSb4Ru at its relaxed geometry from Alexandria. Energies are from GGA-PBEsol.

## Properties
* calculated density: 7406 kg/m3
* E_form (uncorrected): 1.157 eV/atom
* E_tot: -4.2989 eV/atom

a = 5.912 Å, b = 5.912 Å, c = 5.912 Å
α = 60.00°, β = 60.00°, γ = 60.00°
Atoms (fractional coordinates):
Cu: 0.000 0.000 0.000
Sb: 0.124 0.625 0.625
Sb: 0.625 0.124 0.625
Sb: 0.625 0.625 0.124
Sb: 0.625 0.625 0.625
Ru: 0.250 0.250 0.250

---

Here is crystalline Cu2SbRu at its relaxed geometry from Alexandria. Energies are from GGA-PBEsol.

## Properties
* calculated density: 10343 kg/m3
* E_form (uncorrected): 0.074 eV/atom
* E_tot: -5.7754 eV/atom

a = 3.788 Å, b = 3.788 Å, c = 7.832 Å
α = 90.00°, β = 90.00°, γ = 90.00°
Atoms (fractional coordinates):
Cu: 0.000 0.000 0.000
Cu: 0.000 0.500 0.250
Cu: 0.500 0.000 0.750
Cu: 0.500 0.500 0.500
Sb: 0.000 0.500 0.750
Sb: 0.500 0.000 0.250
Ru: 0.000 0.000 0.500
Ru: 0.500 0.500 0.000

---

Here is crystalline Cu3SbRu at its relaxed geometry from Alexandria. Energies are from GGA-PBEsol.

## Properties
* calculated density: 6991 kg/m3
* E_form (uncorrected): 1.476 eV/atom
* E_tot: -4.0703 eV/atom

a = 4.614 Å, b = 4.614 Å, c = 4.614 Å
α = 90.00°, β = 90.00°, γ = 90.00°
Atoms (fractional coordinates):
Cu: 0.000 0.000 0.500
Cu: 0.000 0.500 0.000
Cu: 0.500 0.000 0.000
Sb: 0.000 0.000 0.000
Ru: 0.500 0.500 0.500

---

Here is crystalline Cu2SbRu at its relaxed geometry from Alexandria. Energies are from GGA-PBEsol.

## Properties
* calculated density: 10042 kg/m3
* E_form (uncorrected): 0.118 eV/atom
* E_tot: -5.7320 eV/atom

a = 3.248 Å, b = 3.248 Å, c = 5.485 Å
α = 90.00°, β = 90.00°, γ = 90.00°
Atoms (fractional coordinates):
Cu: 0.000 0.000 0.000
Cu: 0.500 0.500 0.190
Sb: 0.500 0.500 0.707
Ru: 0.000 0.000 0.467

---

Here is crystalline Cu2SbRu at its relaxed geometry from Alexandria. Energies are from GGA-PBEsol.

## Properties
* calculated density: 9752 kg/m3
* E_form (uncorrected): 0.282 eV/atom
* E_tot: -5.5673 eV/atom

a = 5.212 Å, b = 9.302 Å, c = 2.977 Å
α = 90.00°, β = 124.35°, γ = 90.00°
Atoms (fractional coordinates):
Cu: 0.250 0.250 0.000
Cu: 0.250 0.750 0.000
Cu: 0.750 0.250 0.000
Cu: 0.750 0.750 0.000
Sb: 0.000 0.000 0.500
Sb: 0.500 0.500 0.500
Ru: 0.000 0.500 0.500
Ru: 0.500 0.000 0.500

---

Here is crystalline CuSb2TeRu at its relaxed geometry from Alexandria. Energies are from GGA-PBEsol.

## Properties
* calculated density: 7690 kg/m3
* E_form (uncorrected): 1.083 eV/atom
* E_tot: -4.3468 eV/atom

a = 4.831 Å, b = 4.831 Å, c = 4.957 Å
α = 90.00°, β = 90.00°, γ = 90.00°
Atoms (fractional coordinates):
Cu: 0.000 0.000 0.000
Sb: 0.000 0.500 0.000
Sb: 0.500 0.000 0.000
Te: 0.000 0.000 0.500
Ru: 0.500 0.500 0.500

---

Here is crystalline ScCuRu2 at its relaxed geometry from Alexandria. Energies are from GGA-PBEsol.

## Properties
* calculated density: 9129 kg/m3
* E_tot: -7.8587 eV/atom
* formation enthalpy at 0 K: -38 meV per atom

a = 4.418 Å, b = 2.882 Å, c = 4.615 Å
α = 90.00°, β = 105.97°, γ = 90.00°
Atoms (fractional coordinates):
Sc: 0.000 0.000 0.000
Cu: 0.000 0.500 0.500
Ru: 0.500 0.000 0.500
Ru: 0.500 0.500 0.000

---

Here is crystalline Sc2CuRu at its relaxed geometry from Alexandria. Energies are from GGA-PBEsol.

## Properties
* calculated density: 6553 kg/m3
* E_tot: -7.3638 eV/atom
* formation enthalpy at 0 K: -435 meV per atom

a = 4.495 Å, b = 4.495 Å, c = 6.385 Å
α = 90.00°, β = 90.00°, γ = 90.00°
Atoms (fractional coordinates):
Sc: 0.000 0.500 0.250
Sc: 0.000 0.500 0.750
Sc: 0.500 0.000 0.250
Sc: 0.500 0.000 0.750
Cu: 0.000 0.000 0.000
Cu: 0.500 0.500 0.500
Ru: 0.000 0.000 0.500
Ru: 0.500 0.500 0.000

---

Here is crystalline ScCuRu2 at its relaxed geometry from Alexandria. Energies are from GGA-PBEsol.

## Properties
* calculated density: 8966 kg/m3
* E_tot: -7.7433 eV/atom
* formation enthalpy at 0 K: 78 meV per atom

a = 3.002 Å, b = 4.467 Å, c = 8.580 Å
α = 90.00°, β = 90.00°, γ = 90.00°
Atoms (fractional coordinates):
Sc: 0.000 0.000 0.000
Sc: 0.500 0.500 0.500
Cu: 0.000 0.000 0.500
Cu: 0.500 0.500 0.000
Ru: 0.000 0.500 0.246
Ru: 0.000 0.500 0.754
Ru: 0.500 0.000 0.254
Ru: 0.500 0.000 0.746

---

Here is crystalline Sc2CuRu at its relaxed geometry from Alexandria. Energies are from GGA-PBEsol.

## Properties
* calculated density: 6503 kg/m3
* E_tot: -7.3767 eV/atom
* formation enthalpy at 0 K: -448 meV per atom

a = 3.197 Å, b = 3.197 Å, c = 6.358 Å
α = 90.00°, β = 90.00°, γ = 90.00°
Atoms (fractional coordinates):
Sc: 0.000 0.000 0.241
Sc: 0.000 0.000 0.759
Cu: 0.500 0.500 0.500
Ru: 0.500 0.500 0.000

---

Here is crystalline ScCuRu2 at its relaxed geometry from Alexandria. Energies are from GGA-PBEsol.

## Properties
* calculated density: 8911 kg/m3
* E_tot: -7.5749 eV/atom
* formation enthalpy at 0 K: 246 meV per atom

a = 2.752 Å, b = 2.752 Å, c = 26.487 Å
α = 90.00°, β = 90.00°, γ = 120.00°
Atoms (fractional coordinates):
Sc: 0.000 0.000 0.000
Sc: 0.333 0.667 0.667
Sc: 0.667 0.333 0.333
Cu: 0.000 0.000 0.753
Cu: 0.333 0.667 0.420
Cu: 0.667 0.333 0.086
Ru: 0.000 0.000 0.243
Ru: 0.000 0.000 0.500
Ru: 0.333 0.667 0.167
Ru: 0.333 0.667 0.910
Ru: 0.667 0.333 0.577
Ru: 0.667 0.333 0.834

---

Here is crystalline CuRu2Se at its relaxed geometry from Alexandria. Energies are from GGA-PBEsol.

## Properties
* calculated density: 10181 kg/m3
* E_form (uncorrected): 0.295 eV/atom
* E_tot: -6.8378 eV/atom

a = 2.831 Å, b = 2.831 Å, c = 7.012 Å
α = 90.00°, β = 90.00°, γ = 90.00°
Atoms (fractional coordinates):
Cu: 0.000 0.000 0.000
Ru: 0.000 0.000 0.485
Ru: 0.500 0.500 0.245
Se: 0.500 0.500 0.724

---

Here is crystalline CuRu2Se at its relaxed geometry from Alexandria. Energies are from GGA-PBEsol.

## Properties
* calculated density: 10335 kg/m3
* E_form (uncorrected): 0.336 eV/atom
* E_tot: -6.7963 eV/atom

a = 3.938 Å, b = 2.819 Å, c = 9.975 Å
α = 90.00°, β = 90.00°, γ = 90.00°
Atoms (fractional coordinates):
Cu: 0.000 0.000 0.000
Cu: 0.000 0.500 0.500
Ru: 0.000 0.000 0.748
Ru: 0.000 0.500 0.248
Ru: 0.500 0.000 0.361
Ru: 0.500 0.500 0.861
Se: 0.500 0.000 0.604
Se: 0.500 0.500 0.104

---

Here is crystalline CuRu2Se at its relaxed geometry from Alexandria. Energies are from GGA-PBEsol.

## Properties
* calculated density: 10474 kg/m3
* E_form (uncorrected): 0.299 eV/atom
* E_tot: -6.8330 eV/atom

a = 7.918 Å, b = 2.881 Å, c = 4.879 Å
α = 90.00°, β = 100.87°, γ = 90.00°
Atoms (fractional coordinates):
Cu: 0.000 0.000 0.000
Cu: 0.500 0.500 0.000
Ru: 0.248 0.000 0.741
Ru: 0.252 0.500 0.259
Ru: 0.748 0.500 0.741
Ru: 0.752 0.000 0.259
Se: 0.000 0.500 0.500
Se: 0.500 0.000 0.500

---

Here is crystalline CuRu3Se at its relaxed geometry from Alexandria. Energies are from GGA-PBEsol.

## Properties
* calculated density: 8729 kg/m3
* E_form (uncorrected): 1.810 eV/atom
* E_tot: -5.9304 eV/atom

a = 4.393 Å, b = 4.393 Å, c = 4.393 Å
α = 90.00°, β = 90.00°, γ = 90.00°
Atoms (fractional coordinates):
Cu: 0.000 0.000 0.000
Ru: 0.000 0.000 0.500
Ru: 0.000 0.500 0.000
Ru: 0.500 0.000 0.000
Se: 0.500 0.500 0.500

---

Here is crystalline CuRu2Se at its relaxed geometry from Alexandria. Energies are from GGA-PBEsol.

## Properties
* calculated density: 10268 kg/m3
* E_form (uncorrected): 0.276 eV/atom
* E_tot: -6.8566 eV/atom

a = 2.794 Å, b = 2.794 Å, c = 24.734 Å
α = 90.00°, β = 90.00°, γ = 120.00°
Atoms (fractional coordinates):
Cu: 0.000 0.000 0.000
Cu: 0.333 0.667 0.667
Cu: 0.667 0.333 0.333
Ru: 0.000 0.000 0.500
Ru: 0.000 0.000 0.751
Ru: 0.333 0.667 0.166
Ru: 0.333 0.667 0.418
Ru: 0.667 0.333 0.084
Ru: 0.667 0.333 0.833
Se: 0.000 0.000 0.247
Se: 0.333 0.667 0.914
Se: 0.667 0.333 0.581